Below is a geometry-optimized V4Ni4Pt structure, with properties calculated at the PBE-GGA level.

Cell and atoms, written as POSCAR:
```
V4Ni4Pt
1.0
-0.6113 -5.0586 0.9779
5.1505 -0.6255 -0.0161
0.2254 1.6348 8.5981
Ni V Pt
8 8 2
Direct
0.7819 0.5000 0.9396
0.2819 0.0000 0.5604
0.0000 0.2819 0.4396
0.5000 0.7819 0.0604
0.5000 0.2181 0.0604
0.0000 0.7181 0.4396
0.2181 0.5000 0.9396
0.7181 0.0000 0.5604
0.0000 0.2492 0.7286
0.7492 0.5000 0.2286
0.5000 0.7492 0.7714
0.0000 0.7508 0.7286
0.2492 0.0000 0.2714
0.5000 0.2508 0.7714
0.2508 0.5000 0.2286
0.7508 0.0000 0.2714
0.0000 0.0000 0.0000
0.5000 0.5000 0.5000
```

Properties
The value obtained for the total magnetization is 0.000 μB/f.u. The calculation puts the density of states at the Fermi level at 1.3856 states/eV/atom. The formation energy is 8 kJ per mole of atoms.

Below is a geometry-optimized V3Ni4Pt4 structure, with properties calculated at the PBE-GGA level.

Cell and atoms, written as POSCAR:
```
V3Ni4Pt4
1.0
2.6743 -0.0022 -0.2278
-0.0362 3.6708 -0.4597
-0.0826 -0.0071 14.8272
Ni V Pt
4 3 4
Direct
0.7292 0.7293 0.4592
0.2707 0.2707 0.5408
0.0928 0.0931 0.1869
0.9072 0.9069 0.8131
0.3638 0.3639 0.7269
0.0000 0.0000 0.0000
0.6361 0.6362 0.2731
0.5477 0.5477 0.0957
0.1821 0.1822 0.3649
0.8179 0.8178 0.6351
0.4523 0.4523 0.9043
```

Properties
The value obtained for the total magnetization is 0.007 μB/f.u. The calculation puts the density of states at the Fermi level at 1.1149 states/eV/atom. The formation energy is -38 kJ per mole of atoms.

Below is a geometry-optimized V2NiPt7 structure, with properties calculated at the PBE-GGA level.

Cell and atoms, written as POSCAR:
```
V2NiPt7
1.0
3.7839 0.0000 0.0000
0.0000 7.5412 -0.4086
0.0000 -3.6935 6.5875
Pt V Ni
7 2 1
Direct
0.5000 0.5000 0.5000
0.0000 0.8011 0.1989
0.5000 0.2972 0.0896
0.0000 0.1989 0.8011
0.5000 0.7028 0.9104
0.5000 0.9104 0.7028
0.5000 0.0896 0.2972
0.5000 0.6899 0.3101
0.5000 0.3101 0.6899
0.0000 0.0000 0.0000
```

Properties
The value obtained for the total magnetization is 0.084 μB/f.u. The calculation puts the density of states at the Fermi level at 1.2782 states/eV/atom. The formation energy is 18 kJ per mole of atoms.

Below is a geometry-optimized VNi5Pt6 structure, with properties calculated at the PBE-GGA level.

Cell and atoms, written as POSCAR:
```
VNi5Pt6
1.0
-4.0299 6.6573 2.8531
-3.7091 -0.4181 0.9331
-0.3398 -1.5972 5.8409
Pt Ni V
6 5 1
Direct
0.2498 0.5833 0.3337
0.2448 0.2551 0.0000
0.2498 0.9170 0.6662
0.7502 0.0830 0.3338
0.7502 0.4167 0.6663
0.7552 0.7449 0.0000
0.0000 0.3355 0.3291
0.5000 0.8373 0.3257
0.5000 0.5000 0.0000
0.0000 0.6645 0.6709
0.5000 0.1627 0.6743
0.0000 0.0000 0.0000
```

Properties
The value obtained for the total magnetization is 3.122 μB/f.u. The calculation puts the density of states at the Fermi level at 1.2727 states/eV/atom. The formation energy is -24 kJ per mole of atoms.

Below is a geometry-optimized VNi2Pt structure, with properties calculated at the PBE-GGA level.

Cell and atoms, written as POSCAR:
```
VNi2Pt
1.0
3.9308 0.6861 -2.1750
-0.2075 3.7988 -2.4855
-0.9838 -0.8739 4.3497
V Pt Ni
1 1 2
Direct
0.7501 0.2500 0.5000
0.5000 0.5000 0.0000
0.0000 0.0000 0.0000
0.2499 0.7500 0.5000
```

Properties
The value obtained for the total magnetization is 0.000 μB/f.u. The calculation puts the density of states at the Fermi level at 0.8171 states/eV/atom. The formation energy is -37 kJ per mole of atoms.

Below is a geometry-optimized V2NiPt structure, with properties calculated at the PBE-GGA level.

Cell and atoms, written as POSCAR:
```
V2NiPt
1.0
-1.7204 3.3803 -0.8117
0.3909 -0.6654 -3.5999
-3.2766 -1.6785 -0.0455
V Pt Ni
2 1 1
Direct
0.0000 0.0000 0.5000
0.0000 0.5000 0.0000
0.5000 0.0000 0.0000
0.5000 0.5000 0.5000
```

Properties
The value obtained for the total magnetization is 0.000 μB/f.u. The calculation puts the density of states at the Fermi level at 1.1161 states/eV/atom. The formation energy is -39 kJ per mole of atoms.

Below is a geometry-optimized VNi3Pt6 structure, with properties calculated at the PBE-GGA level.

Cell and atoms, written as POSCAR:
```
VNi3Pt6
1.0
6.8083 -0.6931 -0.7086
-0.8407 6.7917 -0.7086
-0.8407 -0.8591 6.7743
Ni Pt V
6 12 2
Direct
0.7465 0.5679 0.8291
0.2535 0.4321 0.1709
0.1709 0.2535 0.4321
0.8291 0.7465 0.5679
0.4321 0.1709 0.2535
0.5679 0.8291 0.7465
0.5290 0.1767 0.6424
0.6880 0.1511 0.0288
0.0288 0.6880 0.1511
0.3576 0.4710 0.8233
0.1767 0.6424 0.5290
0.8489 0.9712 0.3120
0.1511 0.0288 0.6880
0.9712 0.3120 0.8489
0.3120 0.8489 0.9712
0.6424 0.5290 0.1767
0.8233 0.3576 0.4710
0.4710 0.8233 0.3576
0.5000 0.5000 0.5000
0.0000 0.0000 0.0000
```

Properties
The value obtained for the total magnetization is 0.004 μB/f.u. The calculation puts the density of states at the Fermi level at 1.3935 states/eV/atom. The formation energy is 0 kJ per mole of atoms.

Below is a geometry-optimized VNiPt3 structure, with properties calculated at the PBE-GGA level.

Cell and atoms, written as POSCAR:
```
VNiPt3
1.0
-0.3752 -4.0322 -2.1562
-0.5970 -2.1018 4.0343
-4.5334 0.6105 -0.3528
Pt Ni V
3 1 1
Direct
0.0000 0.0000 0.5000
0.5000 0.0000 0.0000
0.0000 0.5000 0.0000
0.5000 0.5000 0.5000
0.0000 0.0000 0.0000
```

Properties
The value obtained for the total magnetization is 0.493 μB/f.u. The calculation puts the density of states at the Fermi level at 1.3912 states/eV/atom. The formation energy is 96 kJ per mole of atoms.

Below is a geometry-optimized V4Ni2Pt5 structure, with properties calculated at the PBE-GGA level.

Cell and atoms, written as POSCAR:
```
V4Ni2Pt5
1.0
2.7068 0.0000 0.0000
0.0000 6.9064 -0.5592
-1.3534 -2.9971 8.7292
V Pt Ni
4 5 2
Direct
0.3147 0.3850 0.6293
0.6853 0.6150 0.3707
0.9622 0.6153 0.9244
0.0378 0.3847 0.0756
0.8914 0.1980 0.7827
0.1086 0.8020 0.2173
0.5000 0.0000 0.0000
0.8519 0.7364 0.7038
0.1481 0.2636 0.2962
0.7230 0.0970 0.4460
0.2770 0.9030 0.5540
```

Properties
The value obtained for the total magnetization is 0.001 μB/f.u. The calculation puts the density of states at the Fermi level at 0.9214 states/eV/atom. The formation energy is -19 kJ per mole of atoms.

Below is a geometry-optimized VNi4Pt structure, with properties calculated at the PBE-GGA level.

Cell and atoms, written as POSCAR:
```
VNi4Pt
1.0
-3.1590 -1.8872 -0.3061
1.8129 -2.3552 -4.1899
4.5996 -4.8523 4.7176
Ni Pt V
8 2 2
Direct
0.6568 0.9747 0.3136
0.9257 0.2500 0.8515
0.5000 0.0000 0.0000
0.6568 0.5253 0.3136
0.3432 0.4747 0.6864
0.3432 0.0253 0.6864
0.5000 0.5000 0.0000
0.0743 0.7500 0.1485
0.9091 0.7500 0.8182
0.0909 0.2500 0.1818
0.7710 0.2500 0.5421
0.2290 0.7500 0.4579
```

Properties
The value obtained for the total magnetization is 0.858 μB/f.u. The calculation puts the density of states at the Fermi level at 1.5074 states/eV/atom. The formation energy is 1 kJ per mole of atoms.

Below is a geometry-optimized V2Ni3Pt2 structure, with properties calculated at the PBE-GGA level.

Cell and atoms, written as POSCAR:
```
V2Ni3Pt2
1.0
3.7304 0.0000 -1.9971
0.0000 10.1719 0.0000
-1.0259 0.0000 5.5774
Ni V Pt
6 4 4
Direct
0.5000 0.5000 0.5000
0.7751 0.4434 0.2209
0.7249 0.9434 0.2791
0.0000 0.0000 0.0000
0.2249 0.5566 0.7791
0.2751 0.0566 0.7209
0.6067 0.1407 0.5272
0.8933 0.6407 0.9728
0.1067 0.3593 0.0272
0.3933 0.8593 0.4728
0.1837 0.8192 0.8066
0.6837 0.6808 0.3066
0.8163 0.1808 0.1934
0.3163 0.3192 0.6934
```

Properties
The value obtained for the total magnetization is 0.001 μB/f.u. The calculation puts the density of states at the Fermi level at 1.1416 states/eV/atom. The formation energy is -8 kJ per mole of atoms.

Below is a geometry-optimized VNi14Pt structure, with properties calculated at the PBE-GGA level.

Cell and atoms, written as POSCAR:
```
VNi14Pt
1.0
-4.2373 -0.6370 -2.7062
2.7631 -0.4199 -4.2277
0.4270 -6.9647 0.9709
V Ni Pt
1 14 1
Direct
0.8750 0.8750 0.5000
0.6292 0.6292 0.2457
0.3750 0.3750 0.0000
0.6292 0.6292 0.7543
0.8750 0.3750 0.5000
0.3750 0.8750 0.5000
0.3750 0.8750 0.0000
0.1208 0.6292 0.2456
0.1208 0.1208 0.2457
0.1208 0.6292 0.7544
0.8750 0.3750 0.0000
0.6292 0.1208 0.2456
0.6292 0.1208 0.7544
0.1208 0.1208 0.7543
0.8750 0.8750 0.0000
0.3750 0.3750 0.5000
```

Properties
The value obtained for the total magnetization is 6.147 μB/f.u. The calculation puts the density of states at the Fermi level at 1.7099 states/eV/atom. The formation energy is -5 kJ per mole of atoms.